Below is a relaxed structure of CrCoOs2, with properties calculated at the PBE-GGA level.

Cell and atoms, written as POSCAR:
```
CrCoOs2
1.0
4.001 0.000 0.000
0.000 2.651 -0.002
0.000 1.332 4.793
Cr Os Co
1 2 1
Direct
0.500 0.564 0.748
0.500 0.297 0.282
0.000 0.952 0.972
0.000 0.688 0.499
```

Properties
* calculated density: 16.05 g/cm3
* energy of formation: 0.085 eV/atom